Below is a geometry-optimized HfMn6Ge6 structure, with properties calculated at the GGA-PBE level.

The space group is P6/mmm (No. 191) and the conventional cell measures 5.1085, 5.1085 and 8.1271 Å, with angles of 90.00, 90.00 and 120.00 degrees. The inequivalent atoms are Hf at (0.0000, 0.0000, 0.0000), Mn at (0.0000, 0.5000, 0.2489), Ge at (0.0000, 0.0000, 0.3389), Ge at (0.3333, 0.6667, 0.0000) and Ge at (0.3333, 0.6667, 0.5000).

The value obtained for the polymorph energy (0 for the lowest one) is 0 meV per atom. The energy of formation is -0.287 eV/atom. The calculation puts the density of states at the Fermi level at 4.1 states/eV/f.u. As for the calculated density: 8.53 g/cm³. The calculated total energy is -96.410 eV per formula unit.

=====

Below is a geometry-optimized Na2Sn5Se6 structure, with properties calculated at the GGA-PBE level.

The space group is C2/c (No. 15) and the conventional cell measures 13.936, 8.118 and 14.812 Å, with angles of 90.00, 94.25 and 90.00 degrees. The inequivalent atoms are Na at (0.217, 0.027, 0.026), Sn at (0.000, 0.296, 0.250), Sn at (0.012, 0.297, 0.969), Sn at (0.177, 0.184, 0.776), Se at (0.064, 0.012, 0.886), Se at (0.119, 0.475, 0.850) and Se at (0.153, 0.338, 0.114).

As for the calculated density: 4.43 g/cm³. The calculated total energy is -50.109 eV per formula unit. The value obtained for the formation energy from raw total energies is -0.50 eV per atom.